1.
VASP calculation (PBE-GGA) on a relaxed structure of SmAl3Ag.

a = 6.0011 Å, b = 6.3363 Å, c = 6.0862 Å
α = 118.70°, β = 90.00°, γ = 90.00°
Last column: nearest neighbours and their distance in Å.
Sites, in units of the cell vectors:
Sm: 0.2500 0.4995 0.7498  12 Al 3.20-3.54, 4 Ag 3.31-3.35
Sm: 0.7500 0.5005 0.2502  12 Al 3.20-3.54, 4 Ag 3.31-3.35
Al: 0.5000 0.0000 0.2348  2 Ag 2.61, 3 Al 2.66-2.86
Al: 0.5000 0.0000 0.7652  2 Ag 2.61, 3 Al 2.66-2.86
Al: 0.0000 0.0000 0.2348  2 Ag 2.61, 3 Al 2.66-2.86
Al: 0.0000 0.0000 0.7652  2 Ag 2.61, 3 Al 2.66-2.86
Al: 0.2500 0.3010 0.1505  1 Ag 2.49, 4 Al 2.66
Al: 0.7500 0.6990 0.8495  1 Ag 2.49, 4 Al 2.66
Ag: 0.2500 0.7499 0.3750  5 Al 2.49-2.61
Ag: 0.7500 0.2501 0.6250  5 Al 2.49-2.61

Results
Symmetry: Cmcm
Calculated formation energy (kJ per mole of atoms): -38.0
E_tot (eV per atom): -4.154
Size of the total moment (μB per atom): 0.000
Polymorph energy (0 for the lowest one) (meV per atom): 0



2.
VASP calculation (PBE-GGA) on a relaxed structure of Tb4BiIr2.

a = 8.1546 Å, b = 8.1548 Å, c = 8.1570 Å
α = 111.12°, β = 111.01°, γ = 106.31°
Last column: nearest neighbours and their distance in Å.
Sites, in units of the cell vectors:
Tb: 0.8976 0.2137 0.3166  3 Ir 2.73-2.87
Tb: 0.3526 0.5363 0.1836  3 Ir 2.73-2.87
Tb: 0.8972 0.5810 0.6834  3 Ir 2.73-2.87
Tb: 0.7862 0.1028 0.6835  3 Ir 2.73-2.87
Tb: 0.4193 0.1027 0.3165  3 Ir 2.73-2.87
Tb: 0.3526 0.1690 0.8164  3 Ir 2.73-2.87
Tb: 0.4638 0.6475 0.8167  3 Ir 2.73-2.87
Tb: 0.8307 0.6471 0.1833  3 Ir 2.73-2.87
Bi: 0.2490 0.7490 0.5000  4 Tb 3.09
Bi: 0.0010 0.0010 0.0000  4 Tb 3.09
Ir: 0.6249 0.3750 0.7499  6 Tb 2.73-2.87
Ir: 0.6251 0.8750 0.2501  6 Tb 2.73-2.87
Ir: 0.6250 0.3749 0.2499  6 Tb 2.73-2.87
Ir: 0.1250 0.3751 0.7501  6 Tb 2.73-2.87

Results
Symmetry: Imma
Calculated formation energy (kJ per mole of atoms): -58.5
E_tot (eV per atom): -6.339
Size of the total moment (μB per atom): 0.000



3.
VASP calculation (PBE-GGA) on a relaxed structure of PmNdCu.

a = 3.5961 Å, b = 3.5961 Å, c = 6.8003 Å
α = 105.33°, β = 105.33°, γ = 90.00°
Last column: nearest neighbours and their distance in Å.
Sites, in units of the cell vectors:
Nd: 0.0267 0.0267 0.0533  4 Cu 3.11
Cu: 0.6689 0.6689 0.3379  4 Pm 3.06, 4 Nd 3.11
Pm: 0.3044 0.3044 0.6088  4 Cu 3.06

Results
Symmetry: I4mm
Calculated formation energy (kJ per mole of atoms): -7.1
E_tot (eV per atom): -4.612
Size of the total moment (μB per atom): 0.000
Polymorph energy (0 for the lowest one) (meV per atom): 28



4.
VASP calculation (PBE-GGA) on a relaxed structure of Er4Si2C.

a = 3.9174 Å, b = 8.1017 Å, c = 7.0482 Å
α = 134.52°, β = 106.13°, γ = 90.00°
Last column: nearest neighbours and their distance in Å.
Sites, in units of the cell vectors:
Er: 0.9187 0.1844 0.8375  1 C 2.42
Er: 0.0813 0.8156 0.1625  1 C 2.42
Er: 0.6635 0.2516 0.3270  2 C 2.51
Er: 0.3365 0.7484 0.6730  2 C 2.51
Si: 0.6193 0.5876 0.2385  1 Si 2.40
Si: 0.3807 0.4124 0.7615  1 Si 2.40
C: 0.0000 0.0000 0.0000  6 Er 2.42-2.51

Results
Symmetry: C2/m
E_tot (eV per atom): -6.037
Size of the total moment (μB per atom): 0.051
Polymorph energy (0 for the lowest one) (meV per atom): 0
Formation energy (no corrections) (eV per atom): -0.562



5.
VASP calculation (PBE-GGA) on a relaxed structure of Cd3Ga12Sn5.

a = 13.8924 Å, b = 13.8924 Å, c = 13.8924 Å
α = 109.47°, β = 109.47°, γ = 109.47°
Last column: nearest neighbours and their distance in Å.
Sites, in units of the cell vectors:
Cd: 0.7500 0.3750 0.1250  4 Ga 2.70
Cd: 0.8750 0.7500 0.1250  4 Ga 2.70
Cd: 0.3750 0.7500 0.6250  4 Ga 2.70
Cd: 0.2500 0.1250 0.3750  4 Ga 2.70
Cd: 0.8750 0.1250 0.2500  4 Ga 2.70
Cd: 0.3750 0.6250 0.2500  4 Ga 2.70
Cd: 0.6250 0.3750 0.7500  4 Ga 2.70
Cd: 0.1250 0.8750 0.7500  4 Ga 2.70
Cd: 0.7500 0.8750 0.6250  4 Ga 2.70
Cd: 0.6250 0.2500 0.3750  4 Ga 2.70
Cd: 0.1250 0.2500 0.8750  4 Ga 2.70
Cd: 0.2500 0.6250 0.8750  4 Ga 2.70
Sn: 0.1250 0.3750 0.2500  4 Ga 2.70
Sn: 0.0000 0.5000 0.0000  6 Ga 2.82
Sn: 0.0000 0.0000 0.0000  6 Ga 2.82
Sn: 0.3750 0.2500 0.1250  4 Ga 2.70
Sn: 0.5000 0.0000 0.5000  6 Ga 2.82
Sn: 0.5000 0.5000 0.0000  6 Ga 2.82
Sn: 0.1250 0.7500 0.3750  4 Ga 2.70
Sn: 0.7500 0.1250 0.8750  4 Ga 2.70
Sn: 0.7500 0.6250 0.3750  4 Ga 2.70
Sn: 0.3750 0.1250 0.7500  4 Ga 2.70
Sn: 0.6250 0.8750 0.2500  4 Ga 2.70
Sn: 0.5000 0.5000 0.5000  6 Ga 2.82
Sn: 0.5000 0.0000 0.0000  6 Ga 2.82
Sn: 0.0000 0.0000 0.5000  6 Ga 2.82
Sn: 0.2500 0.3750 0.6250  4 Ga 2.70
Sn: 0.2500 0.8750 0.1250  4 Ga 2.70
Sn: 0.0000 0.5000 0.5000  6 Ga 2.82
Sn: 0.8750 0.2500 0.6250  4 Ga 2.70
Sn: 0.6250 0.7500 0.8750  4 Ga 2.70
Sn: 0.8750 0.6250 0.7500  4 Ga 2.70
Ga: 0.7379 0.1371 0.0684  2 Sn 2.70-2.82, 1 Cd 2.70, 1 Ga 2.87
Ga: 0.3305 0.5684 0.4313  2 Sn 2.70-2.82, 1 Cd 2.70, 1 Ga 2.87
Ga: 0.9316 0.3629 0.2621  2 Sn 2.70-2.82, 1 Cd 2.70, 1 Ga 2.87
Ga: 0.5684 0.2379 0.1371  2 Sn 2.70-2.82, 1 Cd 2.70, 1 Ga 2.87
Ga: 0.6008 0.7379 0.6695  2 Sn 2.70-2.82, 1 Cd 2.70, 1 Ga 2.87
Ga: 0.9316 0.5687 0.1695  2 Sn 2.70-2.82, 1 Cd 2.70, 1 Ga 2.87
Ga: 0.3305 0.7621 0.3992  2 Sn 2.70-2.82, 1 Cd 2.70, 1 Ga 2.87
Ga: 0.0687 0.8992 0.1371  2 Sn 2.70-2.82, 1 Cd 2.70, 1 Ga 2.87
Ga: 0.5687 0.9316 0.6695  2 Sn 2.70-2.82, 1 Cd 2.70, 1 Ga 2.87
Ga: 0.7379 0.6008 0.1695  2 Sn 2.70-2.82, 1 Cd 2.70, 1 Ga 2.87
Ga: 0.7621 0.4316 0.3629  2 Sn 2.70-2.82, 1 Cd 2.70, 1 Ga 2.87
Ga: 0.8305 0.9313 0.0684  2 Sn 2.70-2.82, 1 Cd 2.70, 1 Ga 2.87
Ga: 0.1371 0.7379 0.5684  2 Sn 2.70-2.82, 1 Cd 2.70, 1 Ga 2.87
Ga: 0.3629 0.4313 0.1008  2 Sn 2.70-2.82, 1 Cd 2.70, 1 Ga 2.87
Ga: 0.1008 0.9313 0.3629  2 Sn 2.70-2.82, 1 Cd 2.70, 1 Ga 2.87
Ga: 0.3992 0.1371 0.5687  2 Sn 2.70-2.82, 1 Cd 2.70, 1 Ga 2.87
Ga: 0.1008 0.1695 0.2379  2 Sn 2.70-2.82, 1 Cd 2.70, 1 Ga 2.87
Ga: 0.4316 0.6695 0.0687  2 Sn 2.70-2.82, 1 Cd 2.70, 1 Ga 2.87
Ga: 0.8305 0.8992 0.2621  2 Sn 2.70-2.82, 1 Cd 2.70, 1 Ga 2.87
Ga: 0.1371 0.3992 0.0687  2 Sn 2.70-2.82, 1 Cd 2.70, 1 Ga 2.87
Ga: 0.3629 0.9316 0.7621  2 Sn 2.70-2.82, 1 Cd 2.70, 1 Ga 2.87
Ga: 0.5687 0.6371 0.3992  2 Sn 2.70-2.82, 1 Cd 2.70, 1 Ga 2.87
Ga: 0.9313 0.8305 0.5684  2 Sn 2.70-2.82, 1 Cd 2.70, 1 Ga 2.87
Ga: 0.7621 0.3305 0.8992  2 Sn 2.70-2.82, 1 Cd 2.70, 1 Ga 2.87
Ga: 0.4313 0.3629 0.6008  2 Sn 2.70-2.82, 1 Cd 2.70, 1 Ga 2.87
Ga: 0.0687 0.1695 0.4316  2 Sn 2.70-2.82, 1 Cd 2.70, 1 Ga 2.87
Ga: 0.2379 0.6695 0.1008  2 Sn 2.70-2.82, 1 Cd 2.70, 1 Ga 2.87
Ga: 0.1695 0.1008 0.7379  2 Sn 2.70-2.82, 1 Cd 2.70, 1 Ga 2.87
Ga: 0.6371 0.0684 0.2379  2 Sn 2.70-2.82, 1 Cd 2.70, 1 Ga 2.87
Ga: 0.8629 0.6008 0.9313  2 Sn 2.70-2.82, 1 Cd 2.70, 1 Ga 2.87
Ga: 0.5684 0.3305 0.9313  2 Sn 2.70-2.82, 1 Cd 2.70, 1 Ga 2.87
Ga: 0.6008 0.8629 0.4313  2 Sn 2.70-2.82, 1 Cd 2.70, 1 Ga 2.87
Ga: 0.8992 0.8305 0.7621  2 Sn 2.70-2.82, 1 Cd 2.70, 1 Ga 2.87
Ga: 0.8992 0.0687 0.6371  2 Sn 2.70-2.82, 1 Cd 2.70, 1 Ga 2.87
Ga: 0.8629 0.2621 0.4316  2 Sn 2.70-2.82, 1 Cd 2.70, 1 Ga 2.87
Ga: 0.1695 0.0687 0.9316  2 Sn 2.70-2.82, 1 Cd 2.70, 1 Ga 2.87
Ga: 0.6371 0.5687 0.8992  2 Sn 2.70-2.82, 1 Cd 2.70, 1 Ga 2.87
Ga: 0.4313 0.0684 0.3305  2 Sn 2.70-2.82, 1 Cd 2.70, 1 Ga 2.87
Ga: 0.2621 0.3992 0.8305  2 Sn 2.70-2.82, 1 Cd 2.70, 1 Ga 2.87
Ga: 0.2379 0.5684 0.6371  2 Sn 2.70-2.82, 1 Cd 2.70, 1 Ga 2.87
Ga: 0.9313 0.1008 0.8629  2 Sn 2.70-2.82, 1 Cd 2.70, 1 Ga 2.87
Ga: 0.6695 0.2379 0.6008  2 Sn 2.70-2.82, 1 Cd 2.70, 1 Ga 2.87
Ga: 0.4316 0.7621 0.8629  2 Sn 2.70-2.82, 1 Cd 2.70, 1 Ga 2.87
Ga: 0.0684 0.4313 0.8305  2 Sn 2.70-2.82, 1 Cd 2.70, 1 Ga 2.87
Ga: 0.3992 0.2621 0.3305  2 Sn 2.70-2.82, 1 Cd 2.70, 1 Ga 2.87
Ga: 0.0684 0.6371 0.7379  2 Sn 2.70-2.82, 1 Cd 2.70, 1 Ga 2.87
Ga: 0.6695 0.4316 0.5687  2 Sn 2.70-2.82, 1 Cd 2.70, 1 Ga 2.87
Ga: 0.2621 0.8629 0.9316  2 Sn 2.70-2.82, 1 Cd 2.70, 1 Ga 2.87

Results
Symmetry: Ia-3d
Calculated formation energy (kJ per mole of atoms): 15.5
E_tot (eV per atom): -2.794
Size of the total moment (μB per atom): 0.000



6.
VASP calculation (PBE-GGA) on a relaxed structure of Nd12Tl5Cd2.

a = 7.6211 Å, b = 9.5481 Å, c = 9.3825 Å
α = 83.36°, β = 90.00°, γ = 113.52°
Last column: nearest neighbours and their distance in Å.
Sites, in units of the cell vectors:
Nd: 0.9603 0.9206 0.1898  2 Cd 3.07, 2 Tl 3.08-3.31
Nd: 0.0729 0.6708 0.9123  1 Cd 3.16, 1 Nd 3.23, 3 Tl 3.25-3.53
Nd: 0.5979 0.6708 0.9123  1 Cd 3.16, 1 Nd 3.23, 3 Tl 3.25-3.53
Nd: 0.1011 0.6997 0.4964  4 Tl 3.26-3.51, 2 Nd 3.49-3.62
Nd: 0.5986 0.6997 0.4964  4 Tl 3.26-3.51, 2 Nd 3.49-3.62
Nd: 0.4911 0.9821 0.6877  2 Cd 3.24, 3 Nd 3.50-3.62
Nd: 0.5089 0.0179 0.3123  2 Cd 3.24, 3 Nd 3.50-3.62
Nd: 0.8989 0.3003 0.5036  4 Tl 3.26-3.51, 2 Nd 3.49-3.62
Nd: 0.4014 0.3003 0.5036  4 Tl 3.26-3.51, 2 Nd 3.49-3.62
Nd: 0.9271 0.3292 0.0877  1 Cd 3.16, 1 Nd 3.23, 3 Tl 3.25-3.53
Nd: 0.4021 0.3292 0.0877  1 Cd 3.16, 1 Nd 3.23, 3 Tl 3.25-3.53
Nd: 0.0397 0.0794 0.8102  2 Cd 3.07, 2 Tl 3.08-3.31
Tl: 0.2297 0.4594 0.7474  7 Nd 3.25-3.51
Tl: 0.3108 0.6215 0.2252  7 Nd 3.31-3.66
Tl: 0.0000 0.0000 0.5000  6 Nd 3.08-3.26
Tl: 0.6892 0.3785 0.7748  7 Nd 3.31-3.66
Tl: 0.7703 0.5406 0.2526  7 Nd 3.25-3.51
Cd: 0.6761 0.0000 0.0000  1 Cd 2.68
Cd: 0.3239 0.0000 0.0000  1 Cd 2.68

Results
Symmetry: C2/m
Calculated formation energy (kJ per mole of atoms): -11.6
E_tot (eV per atom): -3.851
Size of the total moment (μB per atom): 0.000



7.
VASP calculation (PBE-GGA) on a relaxed structure of Mg3Zr2.

a = 13.6999 Å, b = 13.6999 Å, c = 13.6999 Å
α = 12.96°, β = 12.96°, γ = 12.96°
Last column: nearest neighbours and their distance in Å.
Sites, in units of the cell vectors:
Mg: 0.0000 0.0000 0.0000  6 Mg 3.09, 6 Zr 3.27
Mg: 0.2000 0.2000 0.2000  9 Mg 3.09-3.25, 3 Zr 3.23
Mg: 0.8000 0.8000 0.8000  9 Mg 3.09-3.25, 3 Zr 3.23
Zr: 0.4007 0.4007 0.4007  6 Zr 3.09, 6 Mg 3.23-3.27
Zr: 0.5993 0.5993 0.5993  6 Zr 3.09, 6 Mg 3.23-3.27

Results
Symmetry: R-3m
Calculated formation energy (kJ per mole of atoms): 4.6
E_tot (eV per atom): -4.328
Size of the total moment (μB per atom): 0.000
Polymorph energy (0 for the lowest one) (meV per atom): 22



8.
VASP calculation (PBE-GGA) on a relaxed structure of HfAuN2Cl.

a = 4.1228 Å, b = 5.3225 Å, c = 4.1228 Å
α = 90.00°, β = 90.00°, γ = 90.00°
Last column: nearest neighbours and their distance in Å.
Sites, in units of the cell vectors:
Hf: 0.0000 0.0000 0.0000  4 N 2.06
N: 0.0000 0.0000 0.5000  2 Hf 2.06
N: 0.5000 0.0000 0.0000  2 Hf 2.06
Au: 0.5000 0.5000 0.5000  4 Cl 2.92
Cl: 0.0000 0.5000 0.0000  2 Hf 2.66, 4 Au 2.92

Results
Symmetry: P4/mmm
E_tot (eV per atom): -5.974
Size of the total moment (μB per atom): 0.000
Formation energy (no corrections) (eV per atom): 0.372